Entry 1:
Computed, not measured: a geometry-optimized La4Tb3S8 structure at the GGA-PBE level of DFT.

Uncorrected energy (eV/atom): -6.322

Cell: 7.9028 7.9028 22.4547 Å, 90.00 90.00 120.00°
Space group R-3m (No. 166, hexagonal axes)
Symmetry-distinct sites (fractional):
La: 0.0000 0.0000 0.0000 (multiplicity 3)
La: 0.0000 0.0000 0.1496 (multiplicity 6)
La: 0.0000 0.0000 0.5000 (multiplicity 3)
Tb: 0.0000 0.5000 0.0000 (multiplicity 9)
S: 0.0000 0.0000 0.2710 (multiplicity 6)
S: 0.0090 0.5045 0.2550 (multiplicity 18)


Entry 2:
Computed, not measured: a geometry-optimized LaTbTe2S structure at the GGA-PBE level of DFT.

Uncorrected energy (eV/atom): -5.580

Cell: 4.5052 4.5052 15.7799 Å, 90.00 90.00 90.00°
Space group P4/nmm (No. 129, origin choice 2)
Symmetry-distinct sites (fractional):
La: 0.2500 0.2500 0.1057 (multiplicity 2)
Tb: 0.2500 0.2500 0.6106 (multiplicity 2)
Te: 0.2500 0.2500 0.4065 (multiplicity 2)
Te: 0.2500 0.2500 0.7949 (multiplicity 2)
S: 0.2500 0.7500 0.0000 (multiplicity 2)


Entry 3:
Computed, not measured: a geometry-optimized La4TbTh3S8 structure at the GGA-PBE level of DFT.

Uncorrected energy (eV/atom): -7.001

Cell: 8.1548 8.1548 20.0447 Å, 90.00 90.00 120.00°
Space group R-3m (No. 166, hexagonal axes)
Symmetry-distinct sites (fractional):
La: 0.0000 0.0000 0.0000 (multiplicity 3)
La: 0.0000 0.5000 0.0000 (multiplicity 9)
Tb: 0.0000 0.0000 0.5000 (multiplicity 3)
Th: 0.0000 0.5000 0.5000 (multiplicity 9)
S: 0.0000 0.0000 0.2481 (multiplicity 6)
S: 0.0057 0.5029 0.2464 (multiplicity 18)


Entry 4:
Computed, not measured: a geometry-optimized La3TbTh2S6 structure at the GGA-PBE level of DFT.

Uncorrected energy (eV/atom): -6.384

Cell: 7.2049 12.8080 8.7215 Å, 90.00 106.25 90.00°
Space group C2/m (No. 12)
Symmetry-distinct sites (fractional):
La: 0.0000 0.0000 0.0000 (multiplicity 2)
La: 0.0000 0.3352 0.0000 (multiplicity 4)
Tb: 0.0000 0.5000 0.5000 (multiplicity 2)
Th: 0.0000 0.1968 0.5000 (multiplicity 4)
S: 0.0992 0.1664 0.8185 (multiplicity 8)
S: 0.1052 0.5000 0.8183 (multiplicity 4)


Entry 5:
Computed, not measured: a geometry-optimized LaTbTh2S4 structure at the GGA-PBE level of DFT.

Uncorrected energy (eV/atom): -7.060

Cell: 6.9472 4.0380 7.0513 Å, 90.00 109.26 90.00°
Space group P2/m (No. 10)
Symmetry-distinct sites (fractional):
La: 0.0000 0.0000 0.0000 (multiplicity 1)
Tb: 0.5000 0.5000 0.0000 (multiplicity 1)
Th: 0.0000 0.5000 0.5000 (multiplicity 1)
Th: 0.5000 0.0000 0.5000 (multiplicity 1)
S: 0.2581 0.5000 0.2487 (multiplicity 2)
S: 0.2601 0.0000 0.7566 (multiplicity 2)


Entry 6:
Computed, not measured: a geometry-optimized La2TbTl3S6 structure at the GGA-PBE level of DFT.

Uncorrected energy (eV/atom): -5.374

Cell: 7.2903 12.6187 7.8480 Å, 90.00 108.01 90.00°
Space group C2/m (No. 12)
Symmetry-distinct sites (fractional):
La: 0.0000 0.1668 0.0000 (multiplicity 4)
Tb: 0.0000 0.5000 0.0000 (multiplicity 2)
Tl: 0.0000 0.0000 0.5000 (multiplicity 2)
Tl: 0.0000 0.3336 0.5000 (multiplicity 4)
S: 0.2283 0.3391 0.2016 (multiplicity 8)
S: 0.2460 0.0000 0.2042 (multiplicity 4)


Entry 7:
Computed, not measured: a geometry-optimized La3TbTl4S8 structure at the GGA-PBE level of DFT.

Uncorrected energy (eV/atom): -5.382

Cell: 8.4538 8.4538 22.3719 Å, 90.00 90.00 120.00°
Space group R-3m (No. 166, hexagonal axes)
Symmetry-distinct sites (fractional):
La: 0.0000 0.5000 0.0000 (multiplicity 9)
Tb: 0.0000 0.0000 0.0000 (multiplicity 3)
Tl: 0.0000 0.0000 0.5000 (multiplicity 3)
Tl: 0.0000 0.5000 0.5000 (multiplicity 9)
S: 0.0000 0.0000 0.2647 (multiplicity 6)
S: 0.0103 0.5051 0.7340 (multiplicity 18)


Entry 8:
Computed, not measured: a geometry-optimized La2TbTmS4 structure at the GGA-PBE level of DFT.

Uncorrected energy (eV/atom): -6.508

Cell: 6.9022 3.9581 7.0996 Å, 90.00 108.72 90.00°
Space group P2/m (No. 10)
Symmetry-distinct sites (fractional):
La: 0.0000 0.0000 0.0000 (multiplicity 1)
La: 0.5000 0.5000 0.0000 (multiplicity 1)
Tb: 0.0000 0.5000 0.5000 (multiplicity 1)
Tm: 0.5000 0.0000 0.5000 (multiplicity 1)
S: 0.2466 0.0000 0.7283 (multiplicity 2)
S: 0.2625 0.5000 0.2744 (multiplicity 2)


Entry 9:
Computed, not measured: a geometry-optimized LaTbTm2S6 structure at the GGA-PBE level of DFT.

Uncorrected energy (eV/atom): -6.407

Cell: 6.9834 6.9834 18.3974 Å, 90.00 90.00 120.00°
Space group R3 (No. 146, hexagonal axes)
Symmetry-distinct sites (fractional):
La: 0.0000 0.0000 0.0000 (multiplicity 3)
Tb: 0.0000 0.0000 0.5085 (multiplicity 3)
Tm: 0.0000 0.0000 0.2075 (multiplicity 3)
Tm: 0.0000 0.0000 0.7117 (multiplicity 3)
S: 0.0366 0.3570 0.7796 (multiplicity 9)
S: 0.0600 0.7022 0.2793 (multiplicity 9)


Entry 10:
Computed, not measured: a geometry-optimized LaTbTmS3 structure at the GGA-PBE level of DFT.

Uncorrected energy (eV/atom): -6.242

Cell: 7.6306 3.9549 10.0195 Å, 90.00 102.41 90.00°
Space group P2_1/m (No. 11)
Symmetry-distinct sites (fractional):
La: 0.1811 0.2500 0.2057 (multiplicity 2)
Tb: 0.1855 0.2500 0.6217 (multiplicity 2)
Tm: 0.3336 0.7500 0.9070 (multiplicity 2)
S: 0.0977 0.2500 0.8876 (multiplicity 2)
S: 0.1902 0.7500 0.4338 (multiplicity 2)
S: 0.4735 0.7500 0.1802 (multiplicity 2)


Entry 11:
Computed, not measured: a geometry-optimized La2TbTmS6 structure at the GGA-PBE level of DFT.

Uncorrected energy (eV/atom): -6.479

Cell: 7.1251 7.1251 18.4665 Å, 90.00 90.00 120.00°
Space group R3 (No. 146, hexagonal axes)
Symmetry-distinct sites (fractional):
La: 0.0000 0.0000 0.0000 (multiplicity 3)
La: 0.0000 0.0000 0.4993 (multiplicity 3)
Tb: 0.0000 0.0000 0.2894 (multiplicity 3)
Tm: 0.0000 0.0000 0.7906 (multiplicity 3)
S: 0.0207 0.3878 0.0544 (multiplicity 9)
S: 0.0275 0.6375 0.5535 (multiplicity 9)


Entry 12:
Computed, not measured: a geometry-optimized LaTbTm2S4 structure at the GGA-PBE level of DFT.

Uncorrected energy (eV/atom): -6.336

Cell: 5.5869 5.5869 11.1722 Å, 90.00 90.00 90.00°
Space group I4/mmm (No. 139)
Symmetry-distinct sites (fractional):
La: 0.0000 0.0000 0.0000 (multiplicity 2)
Tb: 0.0000 0.0000 0.5000 (multiplicity 2)
Tm: 0.0000 0.5000 0.2500 (multiplicity 4)
S: 0.0000 0.0000 0.2558 (multiplicity 4)
S: 0.0000 0.5000 0.0000 (multiplicity 4)


Entry 13:
Computed, not measured: a geometry-optimized LaTb2US8 structure at the GGA-PBE level of DFT.

Uncorrected energy (eV/atom): -6.399

Cell: 5.9967 6.1789 8.4784 Å, 90.00 90.08 90.62°
Space group P-1 (No. 2)
Symmetry-distinct sites (fractional):
La: 0.0000 0.0000 0.0000 (multiplicity 1)
Tb: 0.4993 0.4997 0.7415 (multiplicity 2)
U: 0.0000 0.0000 0.5000 (multiplicity 1)
S: 0.2243 0.4400 0.0001 (multiplicity 2)
S: 0.2429 0.3465 0.4994 (multiplicity 2)
S: 0.2469 0.8726 0.2746 (multiplicity 2)
S: 0.2479 0.8737 0.7259 (multiplicity 2)


Entry 14:
Computed, not measured: a geometry-optimized La3Tb2YS6 structure at the GGA-PBE level of DFT.

Uncorrected energy (eV/atom): -6.701

Cell: 6.9480 12.0622 7.0626 Å, 90.00 109.24 90.00°
Space group C2/m (No. 12)
Symmetry-distinct sites (fractional):
La: 0.0000 0.0000 0.0000 (multiplicity 2)
La: 0.0000 0.3331 0.0000 (multiplicity 4)
Tb: 0.0000 0.1666 0.5000 (multiplicity 4)
Y: 0.0000 0.5000 0.5000 (multiplicity 2)
S: 0.2433 0.3336 0.7312 (multiplicity 8)
S: 0.2444 0.0000 0.7315 (multiplicity 4)


Entry 15:
Computed, not measured: a geometry-optimized LaTb2YS6 structure at the GGA-PBE level of DFT.

Uncorrected energy (eV/atom): -6.621

Cell: 7.0461 7.0461 18.6283 Å, 90.00 90.00 120.00°
Space group R3 (No. 146, hexagonal axes)
Symmetry-distinct sites (fractional):
La: 0.0000 0.0000 0.0000 (multiplicity 3)
Tb: 0.0000 0.0000 0.2067 (multiplicity 3)
Tb: 0.0000 0.0000 0.7112 (multiplicity 3)
Y: 0.0000 0.0000 0.5079 (multiplicity 3)
S: 0.0305 0.3622 0.7764 (multiplicity 9)
S: 0.0547 0.6914 0.2760 (multiplicity 9)


Entry 16:
Computed, not measured: a geometry-optimized La4Tb3YS8 structure at the GGA-PBE level of DFT.

Uncorrected energy (eV/atom): -6.658

Cell: 8.0339 8.0339 20.0158 Å, 90.00 90.00 120.00°
Space group R-3m (No. 166, hexagonal axes)
Symmetry-distinct sites (fractional):
La: 0.0000 0.0000 0.0000 (multiplicity 3)
La: 0.0000 0.5000 0.0000 (multiplicity 9)
Tb: 0.0000 0.5000 0.5000 (multiplicity 9)
Y: 0.0000 0.0000 0.5000 (multiplicity 3)
S: 0.0000 0.0000 0.2437 (multiplicity 6)
S: 0.0005 0.5002 0.2436 (multiplicity 18)


Entry 17:
Computed, not measured: a geometry-optimized La3TbY2S6 structure at the GGA-PBE level of DFT.

Uncorrected energy (eV/atom): -6.852

Cell: 6.9419 12.0514 7.0630 Å, 90.00 109.22 90.00°
Space group C2/m (No. 12)
Symmetry-distinct sites (fractional):
La: 0.0000 0.0000 0.0000 (multiplicity 2)
La: 0.0000 0.3335 0.0000 (multiplicity 4)
Tb: 0.0000 0.5000 0.5000 (multiplicity 2)
Y: 0.0000 0.1666 0.5000 (multiplicity 4)
S: 0.2429 0.0000 0.7308 (multiplicity 4)
S: 0.2438 0.3330 0.7310 (multiplicity 8)


Entry 18:
Computed, not measured: a geometry-optimized La2TbYS5 structure at the GGA-PBE level of DFT.

Uncorrected energy (eV/atom): -6.641

Cell: 4.0481 16.7352 12.8183 Å, 90.00 90.00 90.00°
Space group Cmc2_1 (No. 36)
Symmetry-distinct sites (fractional):
La: 0.0000 0.1002 0.0000 (multiplicity 4)
La: 0.0000 0.1404 0.6215 (multiplicity 4)
Tb: 0.0000 0.2150 0.3376 (multiplicity 4)
Y: 0.0000 0.4658 0.7760 (multiplicity 4)
S: 0.0000 0.0623 0.4017 (multiplicity 4)
S: 0.0000 0.2733 0.9875 (multiplicity 4)
S: 0.0000 0.3141 0.6905 (multiplicity 4)
S: 0.0000 0.3753 0.3181 (multiplicity 4)
S: 0.0000 0.4880 0.0835 (multiplicity 4)


Entry 19:
Computed, not measured: a geometry-optimized LaTb4Y3S8 structure at the GGA-PBE level of DFT.

Uncorrected energy (eV/atom): -6.755

Cell: 7.9127 7.9127 19.3636 Å, 90.00 90.00 120.00°
Space group R-3m (No. 166, hexagonal axes)
Symmetry-distinct sites (fractional):
La: 0.0000 0.0000 0.0000 (multiplicity 3)
Tb: 0.0000 0.0000 0.5000 (multiplicity 3)
Tb: 0.0000 0.5000 0.5000 (multiplicity 9)
Y: 0.0000 0.5000 0.0000 (multiplicity 9)
S: 0.0000 0.0000 0.2503 (multiplicity 6)
S: 0.0081 0.5041 0.2483 (multiplicity 18)


Entry 20:
Computed, not measured: a geometry-optimized La2TbYS6 structure at the GGA-PBE level of DFT.

Uncorrected energy (eV/atom): -6.679

Cell: 7.1533 7.1533 18.5916 Å, 90.00 90.00 120.00°
Space group R3 (No. 146, hexagonal axes)
Symmetry-distinct sites (fractional):
La: 0.0000 0.0000 0.0000 (multiplicity 3)
La: 0.0000 0.0000 0.4998 (multiplicity 3)
Tb: 0.0000 0.0000 0.2906 (multiplicity 3)
Y: 0.0000 0.0000 0.7910 (multiplicity 3)
S: 0.0253 0.6389 0.0557 (multiplicity 9)
S: 0.0264 0.3866 0.5556 (multiplicity 9)